(1)
# Li3La2ZrS6

Li3La2ZrS6 after structural relaxation (GGA-PBE, Alexandria via LeMat-Bulk). Values from VASP.

Geometry as Quantum ESPRESSO input:
```
&SYSTEM
  ibrav = 0, nat = 12, ntyp = 4
/
ATOMIC_SPECIES
Li 6.94 Li.upf
La 138.91 La.upf
S 32.06 S.upf
Zr 91.22 Zr.upf
CELL_PARAMETERS angstrom
6.9560 -0.0468 0.0411
-3.5169 6.0017 0.0411
-1.1112 -1.9241 6.1653
ATOMIC_POSITIONS crystal
Li 0.5000 0.5000 0.5000
Li 0.1390 0.8610 0.5000
Li 0.8610 0.1390 0.5000
La 0.6697 0.3303 0.0000
La 0.3303 0.6697 0.0000
S 0.0826 0.3852 0.2567
S 0.6148 0.9174 0.7433
S 0.9174 0.6148 0.7433
S 0.7662 0.7662 0.2479
S 0.3852 0.0826 0.2567
S 0.2338 0.2338 0.7521
Zr 0.0000 0.0000 0.0000
```

## Properties
- Space group: C2/m, No. 12
- Total magnetic moment: 0.00 Bohr magnetons per cell
- Energy relative to the elements, uncorrected: -1.69 eV per atom
- Raw total energy: -69.234 eV/cell

(2)
# Li2LaSb

Li2LaSb after structural relaxation (GGA-PBE, Alexandria via LeMat-Bulk). Values from VASP.

Geometry as Quantum ESPRESSO input:
```
&SYSTEM
  ibrav = 0, nat = 4, ntyp = 3
/
ATOMIC_SPECIES
Sb 121.76 Sb.upf
Li 6.94 Li.upf
La 138.91 La.upf
CELL_PARAMETERS angstrom
4.5658 0.0029 0.0030
2.2804 3.9556 0.0031
2.2794 1.3179 5.5255
ATOMIC_POSITIONS crystal
Sb 0.5466 0.5466 0.3603
Li 0.2461 0.2461 0.2618
Li 0.9545 0.9545 0.1364
La 0.7528 0.7528 0.7415
```

## Properties
- Space group: R3m, No. 160
- Total magnetic moment: 0.02 Bohr magnetons per cell
- Energy relative to the elements, uncorrected: -0.58 eV per atom
- Raw total energy: -15.210 eV/cell

(3)
# Li3LaSb

Li3LaSb after structural relaxation (GGA-PBE, Alexandria via LeMat-Bulk). Values from VASP.

Geometry as Quantum ESPRESSO input:
```
&SYSTEM
  ibrav = 0, nat = 5, ntyp = 3
/
ATOMIC_SPECIES
Li 6.94 Li.upf
Sb 121.76 Sb.upf
La 138.91 La.upf
CELL_PARAMETERS angstrom
-1.8925 4.6046 -1.9007
-4.9104 -1.3823 1.5406
0.8381 2.2986 4.7340
ATOMIC_POSITIONS crystal
Li 0.5000 0.0000 0.0000
Li 0.0000 0.5000 0.0000
Li 0.0000 0.0000 0.5000
Sb 0.5000 0.5000 0.5000
La 0.0000 0.0000 0.0000
```

## Properties
- Energy above the lowest structure with this stoichiometry: 1045 meV per atom
- Space group: Pm-3m, No. 221
- Total magnetic moment: 2.99 Bohr magnetons per cell
- Energy relative to the elements, uncorrected: 0.93 eV per atom
- Raw total energy: -10.142 eV/cell

(4)
# Li2LaSb2

Li2LaSb2 after structural relaxation (GGA-PBE, Alexandria via LeMat-Bulk). Values from VASP.

Geometry as Quantum ESPRESSO input:
```
&SYSTEM
  ibrav = 0, nat = 10, ntyp = 3
/
ATOMIC_SPECIES
Sb 121.76 Sb.upf
Li 6.94 Li.upf
La 138.91 La.upf
CELL_PARAMETERS angstrom
-1.8174 -4.2814 0.3670
1.2462 -0.1438 4.4938
-9.7072 4.3634 2.8316
ATOMIC_POSITIONS crystal
Sb 0.5000 0.0000 0.6449
Sb 0.0000 0.5000 0.3551
Sb 0.5000 0.5000 0.0000
Sb 0.0000 0.0000 0.0000
Li 0.0000 0.5000 0.1215
Li 0.5000 0.5000 0.5000
Li 0.0000 0.0000 0.5000
Li 0.5000 0.0000 0.8785
La 0.5000 0.0000 0.2341
La 0.0000 0.5000 0.7659
```

## Properties
- Energy above the lowest structure with this stoichiometry: 0 meV per atom
- Space group: P4/nmm, No. 129
- Total magnetic moment: 0.00 Bohr magnetons per cell
- Energy relative to the elements, uncorrected: -0.81 eV per atom
- Raw total energy: -42.137 eV/cell

(5)
# LiLa4Sb

LiLa4Sb after structural relaxation (GGA-PBE, Alexandria via LeMat-Bulk). Values from VASP.

Geometry as Quantum ESPRESSO input:
```
&SYSTEM
  ibrav = 0, nat = 6, ntyp = 3
/
ATOMIC_SPECIES
Li 6.94 Li.upf
La 138.91 La.upf
Sb 121.76 Sb.upf
CELL_PARAMETERS angstrom
-1.4877 4.9302 4.0007
0.9804 6.1578 -1.9092
-5.0917 3.8524 -1.3261
ATOMIC_POSITIONS crystal
Li 0.7500 0.7500 0.7500
La 0.3722 0.8835 0.3722
La 0.3722 0.3722 0.8835
La 0.3722 0.3722 0.3722
La 0.8835 0.3722 0.3722
Sb 0.0000 0.0000 0.0000
```

## Properties
- Space group: F-43m, No. 216
- Total magnetic moment: 0.00 Bohr magnetons per cell
- Energy relative to the elements, uncorrected: 0.10 eV per atom
- Raw total energy: -25.146 eV/cell

(6)
# LiLa2Sb2

LiLa2Sb2 after structural relaxation (GGA-PBE, Alexandria via LeMat-Bulk). Values from VASP.

Geometry as Quantum ESPRESSO input:
```
&SYSTEM
  ibrav = 0, nat = 10, ntyp = 3
/
ATOMIC_SPECIES
Sb 121.76 Sb.upf
Li 6.94 Li.upf
La 138.91 La.upf
CELL_PARAMETERS angstrom
8.8073 0.0000 0.0000
0.0000 8.8073 0.0000
0.0000 0.0000 4.0920
ATOMIC_POSITIONS crystal
Sb 0.3356 0.1644 0.5000
Sb 0.6644 0.8356 0.5000
Sb 0.8356 0.3356 0.5000
Sb 0.1644 0.6644 0.5000
Li 0.5000 0.5000 0.0000
Li 0.0000 0.0000 0.0000
La 0.8609 0.6391 0.0000
La 0.1391 0.3609 0.0000
La 0.3609 0.8609 0.0000
La 0.6391 0.1391 0.0000
```

## Properties
- Energy above the lowest structure with this stoichiometry: 218 meV per atom
- Space group: P4/mbm, No. 127
- Total magnetic moment: 0.00 Bohr magnetons per cell
- Energy relative to the elements, uncorrected: -0.74 eV per atom
- Raw total energy: -47.399 eV/cell